# 1
Pr2TmTl2Cd4 | PBE-GGA | optimized geometry

Lattice parameters (Å, degrees): 4.6603 13.1161 7.7558 90.00 90.00 90.00
Space group Amm2 (No. 38)
Symmetry-distinct sites (fractional):
Pr (0.0000, 0.2110, 0.0000) (multiplicity 4)
Tm (0.0000, 0.0000, 0.6368) (multiplicity 2)
Tl (0.5000, 0.1616, 0.7118) (multiplicity 4)
Cd (0.0000, 0.0000, 0.2272) (multiplicity 2)
Cd (0.5000, 0.0000, 0.9802) (multiplicity 2)
Cd (0.5000, 0.1202, 0.3336) (multiplicity 4)

Summary:
- ρ (Mg/m³) = 9.17
- total magnetic moment (μB per formula unit) = 0.0
- E_tot (eV per cell) = -50.9



# 2
RbNaSm | PBE-GGA | optimized geometry

Lattice parameters (Å, degrees): 8.6594 8.6594 8.6594 90.00 90.00 90.00
Space group F-43m (No. 216)
Symmetry-distinct sites (fractional):
Rb (0.0000, 0.0000, 0.0000) (multiplicity 4)
Na (0.0000, 0.0000, 0.5000) (multiplicity 4)
Sm (0.2500, 0.2500, 0.7500) (multiplicity 4)

Summary:
- ρ (Mg/m³) = 2.65
- excess energy over the best structure of this formula in the dataset (eV/atom) = 0.0000
- total magnetic moment (μB per formula unit) = 1.3
- E_tot (eV per cell) = -16.1



# 3
La2CuPd | PBE-GGA | optimized geometry

Lattice parameters (Å, degrees): 4.6460 3.9830 11.1104 90.00 90.00 90.00
Space group Amm2 (No. 38)
Symmetry-distinct sites (fractional):
La (0.0000, 0.0000, 0.0000) (multiplicity 2)
La (0.5000, 0.0000, 0.2727) (multiplicity 2)
Cu (0.5000, 0.0000, 0.5603) (multiplicity 2)
Pd (0.0000, 0.0000, 0.7123) (multiplicity 2)

Summary:
- ρ (Mg/m³) = 7.23
- ΔE_f (kJ/mol of formula units) = -194
- total magnetic moment (μB per formula unit) = 0.0
- E_tot (eV per cell) = -41.5



# 4
HoSb | PBE-GGA | optimized geometry

Lattice parameters (Å, degrees): 6.3978 5.9379 5.9114 90.00 90.00 90.00
Space group Pmma (No. 51)
Symmetry-distinct sites (fractional):
Ho (0.0000, 0.0000, 0.0000) (multiplicity 2)
Ho (0.2500, 0.5000, 0.3155) (multiplicity 2)
Sb (0.2500, 0.0000, 0.4796) (multiplicity 2)
Sb (0.2500, 0.5000, 0.8212) (multiplicity 2)

Summary:
- ρ (Mg/m³) = 8.48
- total magnetic moment (μB per formula unit) = 0.0
- E_tot (eV per cell) = -40.6



# 5
Ba3Zr4O9 | PBE-GGA | optimized geometry

Lattice parameters (Å, degrees): 5.8735 5.8735 24.6216 90.00 90.00 120.00
Space group R32 (No. 155, hexagonal axes)
Symmetry-distinct sites (fractional):
Ba (0.0000, 0.0000, 0.0000) (multiplicity 3)
Ba (0.0000, 0.0000, 0.4256) (multiplicity 6)
Zr (0.0000, 0.0000, 0.1611) (multiplicity 6)
Zr (0.0000, 0.0000, 0.2824) (multiplicity 6)
O (0.0000, 0.5274, 0.0000) (multiplicity 9)
O (0.0062, 0.4763, 0.4396) (multiplicity 18)

Summary:
- ρ (Mg/m³) = 6.24
- total magnetic moment (μB per formula unit) = 2.0
- E_tot (eV per cell) = -390.4



# 6
LiTbPO | PBE-GGA | optimized geometry

Lattice parameters (Å, degrees): 3.8760 6.3264 5.4569 90.00 90.00 90.00
Space group Pmc2_1 (No. 26)
Symmetry-distinct sites (fractional):
Li (0.0000, 0.1702, 0.0000) (multiplicity 2)
Tb (0.5000, 0.2437, 0.5482) (multiplicity 2)
P (0.0000, 0.4866, 0.2761) (multiplicity 2)
O (0.5000, 0.0710, 0.8943) (multiplicity 2)

Summary:
- ρ (Mg/m³) = 5.28
- excess energy over the best structure of this formula in the dataset (eV/atom) = 0.0681
- total magnetic moment (μB per formula unit) = 0.0
- E_tot (eV per cell) = -47.6



E_tot of number 2 (RbNaSm)?
-16.1 eV per cell



Number 2 is which compound?
RbNaSm